1.
Entry from the Alexandria database: Pm6Nd2TmMg after structural relaxation (PBE).

Computed properties:
The energy of formation is 1.09 eV per formula unit. The calculation puts the density of states at the Fermi level at 1.346 states/eV/atom. The value obtained for the electronic total energy is -4.30 eV per atom.

a b c (Å): 9.822 8.768 8.768
angles (deg): 116.22 95.18 95.18
Fractional coordinates of all 20 atoms:
Nd: 0.450 0.799 0.707
Nd: 0.050 0.293 0.201
Nd: 0.550 0.201 0.293
Nd: 0.950 0.707 0.799
Pm: 0.384 0.497 0.297
Pm: 0.692 0.005 0.574
Pm: 0.308 0.995 0.426
Pm: 0.884 0.297 0.497
Pm: 0.808 0.426 0.995
Pm: 0.448 0.248 0.877
Pm: 0.616 0.503 0.703
Pm: 0.052 0.123 0.752
Pm: 0.116 0.703 0.503
Pm: 0.192 0.574 0.005
Pm: 0.948 0.877 0.248
Pm: 0.552 0.752 0.123
Mg: 0.750 0.595 0.405
Mg: 0.250 0.405 0.595
Tm: 0.250 0.985 0.015
Tm: 0.750 0.015 0.985

---

2.
Entry from the Alexandria database: CdSb2Ir after structural relaxation (PBE).

Computed properties:
The energy relative to the elements, uncorrected comes out at 0.187 eV/atom. The calculation puts the density of states at the Fermi level at 0.851 states/eV/atom. The value obtained for the electronic total energy is -4.32 eV per atom.

a b c (Å): 9.463 9.463 9.463
angles (deg): 20.75 20.75 20.75
Fractional coordinates of all 4 atoms:
Cd: 0.488 0.488 0.488
Sb: 0.017 0.017 0.017
Sb: 0.249 0.249 0.249
Ir: 0.746 0.746 0.746

---

3.
Entry from the Alexandria database: CdHg3H2Pd9 after structural relaxation (PBE).

Computed properties:
The calculation puts the density of states at the Fermi level at 0.635 states/eV/atom. The value obtained for the electronic total energy is -3.76 eV per atom.

a b c (Å): 5.685 5.685 9.107
angles (deg): 90.00 90.00 120.00
Fractional coordinates of all 15 atoms:
Hg: 0.000 0.000 0.000
Hg: 0.333 0.667 0.714
Hg: 0.667 0.333 0.286
Pd: 0.000 0.500 0.000
Pd: 0.167 0.334 0.259
Pd: 0.833 0.167 0.741
Pd: 0.334 0.167 0.741
Pd: 0.666 0.833 0.259
Pd: 0.500 0.500 0.000
Pd: 0.500 0.000 0.000
Pd: 0.833 0.666 0.741
Pd: 0.167 0.833 0.259
Cd: 0.000 0.000 0.500
H: 0.333 0.667 0.136
H: 0.667 0.333 0.864

---

4.
Entry from the Alexandria database: Ta2BePt after structural relaxation (PBE).

Computed properties:
The energy of formation is -1.32 eV per formula unit. The calculation puts the density of states at the Fermi level at 0.743 states/eV/atom. The value obtained for the electronic total energy is -8.70 eV per atom.

a b c (Å): 3.798 3.082 5.518
angles (deg): 73.78 90.00 90.00
Fractional coordinates of all 4 atoms:
Be: 0.000 0.701 0.474
Pt: 0.500 0.564 0.747
Ta: 0.000 0.947 0.980
Ta: 0.500 0.288 0.299

---

5.
Entry from the Alexandria database: PaCd4Pd5 after structural relaxation (PBE).

Computed properties:
The energy of formation is -4.23 eV per formula unit. The calculation puts the density of states at the Fermi level at 0.576 states/eV/atom. The value obtained for the electronic total energy is -4.33 eV per atom.

a b c (Å): 3.244 3.244 17.361
angles (deg): 90.00 90.00 90.00
Fractional coordinates of all 10 atoms:
Pd: 0.500 0.500 0.691
Pd: 0.500 0.500 0.500
Pd: 0.500 0.500 0.889
Pd: 0.500 0.500 0.309
Pd: 0.500 0.500 0.111
Cd: 0.000 0.000 0.596
Cd: 0.000 0.000 0.404
Cd: 0.000 0.000 0.213
Cd: 0.000 0.000 0.787
Pa: 0.000 0.000 0.000

---

6.
Entry from the Alexandria database: Pa2NiH after structural relaxation (PBE).

Computed properties:
The calculation puts the density of states at the Fermi level at 1.787 states/eV/atom. The value obtained for the electronic total energy is -7.04 eV per atom.

a b c (Å): 3.152 3.152 6.446
angles (deg): 90.00 90.00 90.00
Fractional coordinates of all 4 atoms:
Pa: 0.000 0.000 0.220
Pa: 0.000 0.000 0.780
H: 0.500 0.500 0.000
Ni: 0.500 0.500 0.500

---

7.
Entry from the Alexandria database: AlGaCu3 after structural relaxation (PBE).

Computed properties:
The energy of formation is 2.97 eV per formula unit. The calculation puts the density of states at the Fermi level at 0.318 states/eV/atom. The value obtained for the electronic total energy is -3.22 eV per atom.

a b c (Å): 4.472 4.472 4.472
angles (deg): 90.00 90.00 90.00
Fractional coordinates of all 5 atoms:
Ga: 0.000 0.000 0.000
Al: 0.500 0.500 0.500
Cu: 0.000 0.000 0.500
Cu: 0.000 0.500 0.000
Cu: 0.500 0.000 0.000

---

8.
Entry from the Alexandria database: Sc6Zn3Pt after structural relaxation (PBE).

Computed properties:
The energy of formation is -4.57 eV per formula unit. The calculation puts the density of states at the Fermi level at 0.867 states/eV/atom. The value obtained for the electronic total energy is -5.24 eV per atom.

a b c (Å): 4.754 8.358 10.388
angles (deg): 107.82 90.00 90.00
Fractional coordinates of all 20 atoms:
Sc: 0.250 0.842 0.319
Sc: 0.250 0.128 0.161
Sc: 0.250 0.659 0.673
Sc: 0.750 0.158 0.681
Sc: 0.250 0.244 0.499
Sc: 0.750 0.889 0.128
Sc: 0.250 0.467 0.092
Sc: 0.750 0.341 0.327
Sc: 0.750 0.533 0.908
Sc: 0.250 0.111 0.872
Sc: 0.750 0.756 0.501
Sc: 0.750 0.872 0.839
Zn: 0.750 0.605 0.216
Zn: 0.750 0.227 0.026
Zn: 0.250 0.395 0.784
Zn: 0.250 0.773 0.974
Zn: 0.250 0.523 0.378
Zn: 0.750 0.477 0.622
Pt: 0.750 0.051 0.399
Pt: 0.250 0.949 0.601

---

9.
Entry from the Alexandria database: Sm6DySc after structural relaxation (PBE).

Computed properties:
The energy of formation is 2.98 eV per formula unit. The calculation puts the density of states at the Fermi level at 1.689 states/eV/atom. The value obtained for the electronic total energy is -4.53 eV per atom.

a b c (Å): 5.730 5.730 9.237
angles (deg): 77.82 77.82 77.11
Fractional coordinates of all 8 atoms:
Sm: 0.541 0.056 0.293
Sm: 0.056 0.541 0.293
Sm: 0.944 0.459 0.707
Sm: 0.633 0.633 0.074
Sm: 0.459 0.944 0.707
Sm: 0.367 0.367 0.926
Sc: 0.000 0.000 0.000
Dy: 0.500 0.500 0.500

---

10.
Entry from the Alexandria database: KCa2Rh2 after structural relaxation (PBE).

Computed properties:
The energy of formation is -0.03 eV per formula unit. The calculation puts the density of states at the Fermi level at 0.294 states/eV/atom. The value obtained for the electronic total energy is -3.97 eV per atom.

a b c (Å): 8.658 8.658 3.164
angles (deg): 90.00 90.00 90.00
Fractional coordinates of all 10 atoms:
Rh: 0.845 0.345 0.500
Rh: 0.345 0.155 0.500
Rh: 0.155 0.655 0.500
Rh: 0.655 0.845 0.500
Ca: 0.364 0.864 0.000
Ca: 0.136 0.364 0.000
Ca: 0.636 0.136 0.000
Ca: 0.864 0.636 0.000
K: 0.500 0.500 0.000
K: 0.000 0.000 0.000